Entry 1:
Li2Tl2Au | GGA-PBE | relaxed

Cell: 6.885 6.885 4.427 Å, 90.00 90.00 90.00°
Element x y z (fractional)
Li: 0.145 0.355 0.000
Li: 0.355 0.855 0.000
Li: 0.645 0.145 0.000
Li: 0.855 0.645 0.000
Tl: 0.171 0.671 0.500
Tl: 0.329 0.171 0.500
Tl: 0.671 0.829 0.500
Tl: 0.829 0.329 0.500
Au: 0.000 0.000 0.000
Au: 0.500 0.500 0.000

Calculated formation energy = -196 meV per atom
Distance to the lowest polymorph of the same formula = 0 kJ/mol of formula units
VASP energy = -25.6 eV per cell
SG = P4/mbm (127)
M_tot = 0.000 μB per cell


Entry 2:
Li4TlAu5 | GGA-PBE | relaxed

Cell: 3.196 3.196 16.672 Å, 90.00 90.00 90.00°
Element x y z (fractional)
Li: 0.000 0.000 0.091
Li: 0.000 0.000 0.276
Li: 0.000 0.000 0.724
Li: 0.000 0.000 0.909
Tl: 0.000 0.000 0.500
Au: 0.500 0.500 0.000
Au: 0.500 0.500 0.182
Au: 0.500 0.500 0.363
Au: 0.500 0.500 0.637
Au: 0.500 0.500 0.818

Calculated formation energy = -418 meV per atom
VASP energy = -30.6 eV per cell
SG = P4/mmm (123)
M_tot = 0.000 μB per cell


Entry 3:
Li6TlAu6 | GGA-PBE | relaxed

Cell: 5.583 5.583 8.935 Å, 90.00 90.00 120.00°
Element x y z (fractional)
Li: 0.000 0.000 0.179
Li: 0.000 0.000 0.821
Li: 0.333 0.667 0.000
Li: 0.333 0.667 0.500
Li: 0.667 0.333 0.000
Li: 0.667 0.333 0.500
Tl: 0.000 0.000 0.500
Au: 0.000 0.500 0.248
Au: 0.000 0.500 0.752
Au: 0.500 0.000 0.248
Au: 0.500 0.000 0.752
Au: 0.500 0.500 0.248
Au: 0.500 0.500 0.752

Calculated formation energy = -411 meV per atom
VASP energy = -38.9 eV per cell
SG = P6/mmm (191)
M_tot = 0.000 μB per cell


Entry 4:
Li6TlAu | GGA-PBE | relaxed

Cell: 4.755 5.807 5.807 Å, 60.07 90.00 90.00°
Element x y z (fractional)
Li: 0.000 0.000 0.000
Li: 0.000 0.000 0.477
Li: 0.000 0.477 0.000
Li: 0.500 0.164 0.657
Li: 0.500 0.657 0.164
Li: 0.500 0.657 0.657
Tl: 0.000 0.492 0.492
Au: 0.500 0.159 0.159

Calculated formation energy = -279 meV per atom
VASP energy = -19.4 eV per cell
SG = Amm2 (38)
M_tot = 0.000 μB per cell


Entry 5:
Li4Tl2Au | GGA-PBE | relaxed

Cell: 7.106 7.106 7.106 Å, 109.09 109.09 110.24°
Element x y z (fractional)
Li: 0.090 0.204 0.744
Li: 0.096 0.710 0.756
Li: 0.290 0.046 0.386
Li: 0.460 0.346 0.256
Li: 0.654 0.910 0.114
Li: 0.660 0.904 0.614
Li: 0.796 0.540 0.886
Li: 0.954 0.340 0.244
Tl: 0.268 0.625 0.143
Tl: 0.375 0.518 0.643
Tl: 0.482 0.125 0.857
Tl: 0.875 0.732 0.357
Au: 0.000 0.000 0.000
Au: 0.750 0.250 0.500

Calculated formation energy = -237 meV per atom
Distance to the lowest polymorph of the same formula = 16 kJ/mol of formula units
VASP energy = -34.6 eV per cell
SG = I-42d (122)
M_tot = 0.000 μB per cell


Entry 6:
LiTl2Au | GGA-PBE | relaxed

Cell: 4.581 4.581 4.305 Å, 90.00 90.00 90.00°
Element x y z (fractional)
Li: 0.000 0.000 0.000
Tl: 0.000 0.500 0.500
Tl: 0.500 0.000 0.500
Au: 0.500 0.500 0.000

Calculated formation energy = -131 meV per atom
VASP energy = -10.4 eV per cell
SG = P4/mmm (123)
M_tot = 0.000 μB per cell


Entry 7:
Li4Tl2Au | GGA-PBE | relaxed

Cell: 7.749 7.749 7.749 Å, 35.05 35.05 35.05°
Element x y z (fractional)
Li: 0.115 0.115 0.115
Li: 0.373 0.373 0.373
Li: 0.627 0.627 0.627
Li: 0.885 0.885 0.885
Tl: 0.241 0.241 0.241
Tl: 0.759 0.759 0.759
Au: 0.500 0.500 0.500

Calculated formation energy = -261 meV per atom
Distance to the lowest polymorph of the same formula = 0 kJ/mol of formula units
VASP energy = -17.5 eV per cell
SG = R-3m (166)
M_tot = 0.000 μB per cell


Entry 8:
LiTlAu14 | GGA-PBE | relaxed

Cell: 6.133 6.133 7.776 Å, 90.00 90.00 90.00°
Element x y z (fractional)
Li: 0.000 0.000 0.000
Tl: 0.500 0.500 0.000
Au: 0.000 0.000 0.500
Au: 0.000 0.500 0.000
Au: 0.000 0.500 0.500
Au: 0.243 0.243 0.251
Au: 0.243 0.243 0.749
Au: 0.243 0.757 0.251
Au: 0.243 0.757 0.749
Au: 0.500 0.000 0.000
Au: 0.500 0.000 0.500
Au: 0.500 0.500 0.500
Au: 0.757 0.243 0.251
Au: 0.757 0.243 0.749
Au: 0.757 0.757 0.251
Au: 0.757 0.757 0.749

Calculated formation energy = -56 meV per atom
VASP energy = -51.1 eV per cell
SG = P4/mmm (123)
M_tot = 0.000 μB per cell